VASP calculation (GGA-PBEsol) on crystalline Y2FeCuSb at its relaxed geometry.

Results
crystal system: tetragonal
density of states at the Fermi level: 3.26 states/eV/f.u.
DFT total energy: -31.35 eV for the cell shown

The structure in CIF format:
```
data_Y2FeCuSb
_cell_length_a 5.0265
_cell_length_b 5.0265
_cell_length_c 4.6431
_cell_angle_alpha 90.00
_cell_angle_beta 90.00
_cell_angle_gamma 90.00
_symmetry_space_group_name_H-M 'P 4/m m m'
_symmetry_Int_Tables_number 123
_symmetry_space_group_name_Hall '-P 4 2'
loop_
_atom_site_label
_atom_site_fract_x
_atom_site_fract_y
_atom_site_fract_z
_atom_site_occupancy
Y1 0.0000 0.5000 0.0000 1
Fe1 0.0000 0.0000 0.0000 1
Cu1 0.5000 0.5000 0.5000 1
Sb1 0.0000 0.0000 0.5000 1
```